Below is an optimized crystal structure of HfCuB, with properties calculated at the PBE-GGA level.

a = 3.1213 Å, b = 6.0516 Å, c = 4.6996 Å
α = 108.46°, β = 89.82°, γ = 105.04°
With the nearest neighbours (Å) after each atom.
Positions (direct):
B  0.4008  0.3311  0.4660  2 B 1.70
B  0.9511  0.4308  0.4217  2 B 1.70
Hf  0.6105  0.7508  0.7169  3 B 2.35-2.48
Hf  0.3794  0.2837  0.9461  4 B 2.36-2.63
Cu  0.7643  0.0564  0.3588  3 B 2.11-2.18
Cu  0.0905  0.7087  0.1957  1 B 2.21, 2 Cu 2.48



Below is an optimized crystal structure of HfCuB, with properties calculated at the PBE-GGA level.

a = 4.6004 Å, b = 5.6105 Å, c = 3.2155 Å
α = 73.33°, β = 90.03°, γ = 104.39°
With the nearest neighbours (Å) after each atom.
Positions (direct):
B  0.3540  0.1226  0.1088  2 B 1.87
B  0.5667  0.1790  0.5806  2 B 1.87
Hf  0.1461  0.3864  0.4766  4 B 2.47-2.61
Hf  0.7745  0.9151  0.2129  4 B 2.47-2.61
Cu  0.6887  0.4793  0.9306  3 B 2.13-2.24
Cu  0.2321  0.8223  0.7594  3 B 2.12-2.24



Below is an optimized crystal structure of HfCuB, with properties calculated at the PBE-GGA level.

a = 4.6192 Å, b = 5.9473 Å, c = 3.4254 Å
α = 73.25°, β = 90.00°, γ = 112.74°
With the nearest neighbours (Å) after each atom.
Positions (direct):
B  0.8986  0.3185  0.2567  1 B 1.67
B  0.5383  0.3190  0.2567  1 B 1.67
Hf  0.3089  0.5013  0.6654  4 B 2.45
Hf  0.5810  0.0430  0.8947  4 B 2.38-2.39
Cu  0.9012  0.6852  0.0742  2 B 2.08
Cu  0.0788  0.0376  0.3971  2 B 2.08



Results for ΔH_f (0 K): -155, -363, -215 (in meV/atom, following the order of the records).